1.
An optimized crystal structure of CsTlIr. Source: OQMD, functional PBE.

```
data_CsTlIr
_cell_length_a 7.2250
_cell_length_b 7.2250
_cell_length_c 7.2250
_cell_angle_alpha 90.00
_cell_angle_beta 90.00
_cell_angle_gamma 90.00
_space_group_name_H-M_alt 'F -4 3 m'
_space_group_IT_number 216
_space_group_name_Hall 'F -4 2 3'
loop_
_atom_site_label
_atom_site_type_symbol
_atom_site_fract_x
_atom_site_fract_y
_atom_site_fract_z
Cs1 Cs 0.0000 0.0000 0.0000
Tl1 Tl 0.0000 0.0000 0.5000
Ir1 Ir 0.2500 0.2500 0.2500
```

Size of the total moment = 2.1 μB per cell
E above lowest polymorph = 0 meV per atom

***

2.
An optimized crystal structure of LiZnSb. Source: OQMD, functional PBE.

```
data_LiZnSb
_cell_length_a 7.1081
_cell_length_b 4.0722
_cell_length_c 8.0104
_cell_angle_alpha 90.00
_cell_angle_beta 90.00
_cell_angle_gamma 90.00
_space_group_name_H-M_alt 'P n m a'
_space_group_IT_number 62
_space_group_name_Hall '-P 2ac 2n'
loop_
_atom_site_label
_atom_site_type_symbol
_atom_site_fract_x
_atom_site_fract_y
_atom_site_fract_z
Li1 Li 0.1067 0.2500 0.0760
Zn1 Zn 0.0869 0.2500 0.7171
Sb1 Sb 0.2141 0.2500 0.3928
```

Electronic total energy = -31.69 eV for the cell shown

***

3.
An optimized crystal structure of Li4Al2PtAu. Source: OQMD, functional PBE.

```
data_Li4Al2PtAu
_cell_length_a 4.3183
_cell_length_b 4.3183
_cell_length_c 6.1133
_cell_angle_alpha 90.00
_cell_angle_beta 90.00
_cell_angle_gamma 90.00
_space_group_name_H-M_alt 'P -4 m 2'
_space_group_IT_number 115
_space_group_name_Hall 'P -4 -2'
loop_
_atom_site_label
_atom_site_type_symbol
_atom_site_fract_x
_atom_site_fract_y
_atom_site_fract_z
Li1 Li 0.0000 0.0000 0.0000
Li2 Li 0.0000 0.5000 0.7474
Li3 Li 0.5000 0.5000 0.5000
Al1 Al 0.0000 0.5000 0.2666
Pt1 Pt 0.0000 0.0000 0.5000
Au1 Au 0.5000 0.5000 0.0000
```

Electronic total energy = -29.30 eV for the cell shown
Size of the total moment = 0.0 μB per cell

***

4.
An optimized crystal structure of Er2S. Source: OQMD, functional PBE.

```
data_Er2S
_cell_length_a 6.3369
_cell_length_b 6.3369
_cell_length_c 3.8459
_cell_angle_alpha 90.00
_cell_angle_beta 90.00
_cell_angle_gamma 90.00
_space_group_name_H-M_alt 'P 42/m n m'
_space_group_IT_number 136
_space_group_name_Hall '-P 4n 2n'
loop_
_atom_site_label
_atom_site_type_symbol
_atom_site_fract_x
_atom_site_fract_y
_atom_site_fract_z
Er1 Er 0.2065 0.2065 0.0000
S1 S 0.0000 0.0000 0.5000
```

Electronic total energy = -33.74 eV for the cell shown
Size of the total moment = 0.0 μB per cell